Computed, not measured: crystalline BeAl2Hg at its relaxed geometry at the PBE level of DFT.

a b c (Å): 4.1579 3.5277 5.6268
angles (deg): 58.91 90.00 90.00
Atoms (fractional coordinates):
Be (0.5000, 0.2500, 0.2500)
Al (0.0000, 0.3469, 0.4732)
Hg (0.5000, 0.7500, 0.7500)
Al (0.0000, 0.1531, 0.0268)

Summary:
Magnetization ... 0.0 μB/cell
Energy relative to the lowest polymorph listed for this composition ... 5.2 kJ per mole of atoms
ΔE_f ... 0.32 eV/atom
Volume ... 70.7 Å³/cell



Computed, not measured: crystalline Li3Ge at its relaxed geometry at the PBE level of DFT.

a b c (Å): 3.9206 3.9206 5.1938
angles (deg): 109.85 109.85 95.77
Atoms (fractional coordinates):
Li (0.5000, 0.5000, 0.5000)
Ge (0.0000, 0.0000, 0.5000)
Li (0.5000, 0.0000, 0.0000)
Li (0.0000, 0.5000, 0.0000)

Summary:
Magnetization ... 0.0 μB/cell
Energy relative to the lowest polymorph listed for this composition ... 22.3 kJ per mole of atoms
ΔE_f ... -0.09 eV/atom
Volume ... 68.5 Å³/cell



Computed, not measured: crystalline CrRe2B at its relaxed geometry at the PBE level of DFT.

a b c (Å): 2.8055 2.8055 7.8567
angles (deg): 79.72 79.72 60.00
Each line ends with the local moment (μB).
Atoms (fractional coordinates):
Cr (0.0000, 0.0000, 0.0000)  0.32
Re (0.1021, 0.1021, 0.6937)  -0.03
B (0.5000, 0.5000, 0.5000)  0.00
Re (0.8979, 0.8979, 0.3063)  -0.03

Summary:
Magnetization ... 0.3 μB/cell
ΔE_f ... 0.61 eV/atom
Volume ... 52.4 Å³/cell



Computed, not measured: crystalline HoZnSb2O6 at its relaxed geometry at the PBE level of DFT.

a b c (Å): 5.6137 6.7022 8.3470
angles (deg): 100.71 87.11 95.93
Atoms (fractional coordinates):
Zn (0.4856, 0.6763, 0.2654)
O (0.2120, 0.8027, 0.9735)
O (0.2689, 0.3580, 0.5352)
Sb (0.9805, 0.4930, 0.4694)
O (0.8101, 0.2069, 0.3698)
O (0.1896, 0.4890, 0.2529)
O (0.7965, 0.6811, 0.3710)
Ho (0.9880, 0.9284, 0.2269)
O (0.7438, 0.4481, 0.6465)
O (0.9457, 0.1182, 0.0307)
Zn (0.9797, 0.8729, 0.8188)
O (0.3479, 0.9593, 0.3281)
O (0.1484, 0.7292, 0.6197)
O (0.3154, 0.3680, 0.8990)
O (0.6661, 0.7839, 0.0826)
Sb (0.5241, 0.0223, 0.0175)
Sb (0.5072, 0.1418, 0.5259)
Ho (0.4247, 0.6012, 0.7527)
Sb (0.0220, 0.4144, 0.0250)
O (0.6439, 0.9054, 0.7895)

Summary:
Magnetization ... 0.0 μB/cell
Volume ... 306.8 Å³/cell



Computed, not measured: crystalline Ba8Tl2Hg at its relaxed geometry at the PBE level of DFT.

a b c (Å): 6.0920 8.3677 11.1506
angles (deg): 107.14 105.85 90.00
Atoms (fractional coordinates):
Ba (0.7962, 0.6958, 0.5924)
Hg (0.5000, 0.0000, 0.0000)
Ba (0.0303, 0.7914, 0.0607)
Ba (0.6634, 0.9611, 0.3267)
Ba (0.2038, 0.3042, 0.4076)
Tl (0.8152, 0.2938, 0.6304)
Tl (0.1848, 0.7062, 0.3696)
Ba (0.3366, 0.0389, 0.6733)
Ba (0.9697, 0.2086, 0.9393)
Ba (0.5972, 0.4389, 0.1944)
Ba (0.4028, 0.5611, 0.8056)

Summary:
Magnetization ... 0.0 μB/cell
ΔE_f ... -0.26 eV/atom
Volume ... 520.5 Å³/cell



Computed, not measured: crystalline YPuZr at its relaxed geometry at the PBE level of DFT.

a b c (Å): 3.3527 3.3527 7.5547
angles (deg): 102.82 102.82 90.00
Each line ends with the local moment (μB).
Atoms (fractional coordinates):
Y (0.6215, 0.6215, 0.2429)  0.08
Pu (0.9399, 0.9399, 0.8797)  5.42
Zr (0.2887, 0.2887, 0.5773)  -0.10

Summary:
Magnetization ... 5.8 μB/cell
Energy relative to the lowest polymorph listed for this composition ... 0.0 kJ per mole of atoms
ΔE_f ... 0.14 eV/atom
Volume ... 80.6 Å³/cell



Computed, not measured: crystalline Cd2InCuBr at its relaxed geometry at the PBE level of DFT.

a b c (Å): 5.1424 5.1424 5.1790
angles (deg): 90.00 90.00 90.00
Atoms (fractional coordinates):
Br (0.5000, 0.5000, 0.5000)
Cd (0.5000, 0.0000, 0.0000)
Cu (0.0000, 0.0000, 0.0000)
In (0.0000, 0.0000, 0.5000)
Cd (0.0000, 0.5000, 0.0000)

Summary:
Magnetization ... 0.0 μB/cell
Volume ... 137.0 Å³/cell



Computed, not measured: crystalline TbThNi at its relaxed geometry at the PBE level of DFT.

a b c (Å): 5.5058 6.4046 10.7171
angles (deg): 83.66 75.12 64.54
Atoms (fractional coordinates):
Ni (0.1494, 0.6640, 0.0990)
Tb (0.6429, 0.7126, 0.0696)
Th (0.2437, 0.8664, 0.8479)
Th (0.9580, 0.1336, 0.1521)
Tb (0.4625, 0.2126, 0.4304)
Ni (0.9125, 0.3360, 0.9010)
Th (0.8416, 0.3664, 0.6521)
Tb (0.1055, 0.7874, 0.5696)
Ni (0.5634, 0.8360, 0.5990)
Tb (0.4251, 0.2874, 0.9304)
Ni (0.9984, 0.1640, 0.4010)
Th (0.8601, 0.6336, 0.3479)

Summary:
Magnetization ... 0.0 μB/cell
Energy relative to the lowest polymorph listed for this composition ... 23.5 kJ per mole of atoms
ΔE_f ... 0.01 eV/atom
Volume ... 329.8 Å³/cell



These records have calculated total energy values of -2.56, -2.68, -9.69, -6.23, -2.12, -9.64, -2.14, -5.93 eV/atom, in the order they appear.